(1)
Density functional theory data (GGA-PBE) for a relaxed structure of LiAu2Se.

Structure (POSCAR):
```
LiAu2Se
1.0
-0.514 -1.526 -2.300
1.867 -1.910 0.865
-6.998 -4.718 4.693
Au Li Se
2 1 1
direct
0.000 0.000 0.042
0.500 0.500 0.281
0.000 0.000 0.489
0.500 0.500 0.687
```

excess energy over the best structure of this formula in the dataset: 93 meV per atom
formation energy (no corrections): -0.22 eV/atom
calculated total energy: -3.21 eV/atom

---

(2)
Density functional theory data (GGA-PBE) for a relaxed structure of HoBeSi2Ni.

Structure (POSCAR):
```
HoBeSi2Ni
1.0
3.859 0.000 0.000
0.000 3.859 0.000
-1.930 -1.930 4.881
Ho Be Si Ni
1 1 2 1
direct
0.000 0.000 0.000
0.750 0.250 0.500
0.623 0.623 0.246
0.377 0.377 0.754
0.250 0.750 0.500
```

formation energy (no corrections): -0.70 eV/atom
calculated total energy: -5.68 eV/atom

---

(3)
Density functional theory data (GGA-PBE) for a relaxed structure of ReTc2HIr.

Structure (POSCAR):
```
ReTc2HIr
1.0
-1.046 -3.527 -1.412
3.602 -1.387 0.797
-1.194 -1.065 3.546
Re Ir Tc H
1 1 2 1
direct
0.500 0.500 0.500
0.000 0.000 0.500
0.000 0.500 0.000
0.500 0.000 0.000
0.000 0.000 0.000
```

excess energy over the best structure of this formula in the dataset: 4 meV per atom
calculated total energy: -9.10 eV/atom

---

(4)
Density functional theory data (GGA-PBE) for a relaxed structure of Dy3HgRh.

Structure (POSCAR):
```
Dy3HgRh
1.0
-2.027 -0.121 -3.540
4.821 -4.109 -4.973
-3.191 -8.252 -0.245
Dy Hg Rh
6 2 2
direct
0.832 0.034 0.301
0.168 0.966 0.699
0.591 0.766 0.053
0.409 0.234 0.947
0.864 0.565 0.708
0.136 0.435 0.292
0.424 0.725 0.426
0.576 0.275 0.574
0.232 0.625 0.911
0.768 0.375 0.089
```

excess energy over the best structure of this formula in the dataset: 26 meV per atom
ΔE_f: -0.53 eV/atom
calculated total energy: -4.82 eV/atom

---

(5)
Density functional theory data (GGA-PBE) for a relaxed structure of FeCuSCl2.

Structure (POSCAR):
```
FeCuSCl2
1.0
-1.447 4.546 -0.598
-4.110 -1.564 -1.945
-1.757 -0.064 3.765
S Fe Cu Cl
1 1 1 2
direct
0.000 0.000 0.500
0.000 0.000 0.000
0.500 0.500 0.500
0.000 0.500 0.000
0.500 0.000 0.000
```

excess energy over the best structure of this formula in the dataset: 0 meV per atom
formation energy (no corrections): 0.24 eV/atom
calculated total energy: -3.83 eV/atom

---

(6)
Density functional theory data (GGA-PBE) for a relaxed structure of SbTeO5.

Structure (POSCAR):
```
SbTeO5
1.0
-4.093 -0.387 -3.355
3.115 -4.357 -0.850
-3.815 -0.882 6.273
Sb Te O
2 2 10
direct
0.004 0.003 0.997
0.002 0.497 0.499
0.483 0.273 0.775
0.517 0.771 0.258
0.899 0.166 0.245
0.148 0.871 0.752
0.815 0.670 0.367
0.197 0.828 0.124
0.340 0.339 0.034
0.355 0.685 0.460
0.657 0.671 0.915
0.640 0.271 0.544
0.770 0.174 0.874
0.160 0.298 0.646
```

formation energy (no corrections): -0.96 eV/atom
calculated total energy: -5.54 eV/atom

---

(7)
Density functional theory data (GGA-PBE) for a relaxed structure of Cu5Ag2Au5.

Structure (POSCAR):
```
Cu5Ag2Au5
1.0
-2.109 0.188 3.209
-0.172 -5.712 2.525
5.996 -0.081 6.249
Cu Ag Au
5 2 5
direct
0.827 0.844 0.501
0.250 0.758 0.742
0.750 0.242 0.258
0.173 0.156 0.499
0.000 0.000 0.000
0.912 0.429 0.747
0.088 0.571 0.253
0.500 0.500 0.500
0.339 0.319 0.003
0.405 0.929 0.262
0.595 0.071 0.738
0.661 0.681 0.997
```

ΔE_f: 0.00 eV/atom
calculated total energy: -3.55 eV/atom

---

(8)
Density functional theory data (GGA-PBE) for a relaxed structure of CdP2HO6.

Structure (POSCAR):
```
CdP2HO6
1.0
5.024 -0.133 -0.138
1.408 7.006 0.258
1.408 -0.002 7.011
Cd P H O
2 4 2 12
direct
0.250 0.864 0.136
0.750 0.136 0.864
0.236 0.806 0.639
0.264 0.361 0.194
0.764 0.194 0.361
0.736 0.639 0.806
0.250 0.296 0.704
0.750 0.704 0.296
0.165 0.938 0.803
0.335 0.197 0.062
0.835 0.062 0.197
0.665 0.803 0.938
0.286 0.887 0.441
0.214 0.559 0.113
0.714 0.113 0.559
0.786 0.441 0.887
0.002 0.674 0.652
0.498 0.348 0.326
0.998 0.326 0.348
0.502 0.652 0.674
```

calculated total energy: -6.01 eV/atom

---

(9)
Density functional theory data (GGA-PBE) for a relaxed structure of K3Ca2UO6.

Structure (POSCAR):
```
K3Ca2UO6
1.0
6.075 0.001 0.000
-3.036 5.262 0.000
-1.014 -1.756 6.228
K Ca U O
3 2 1 6
direct
0.171 0.829 0.500
0.829 0.171 0.500
0.500 0.500 0.500
0.333 0.667 0.000
0.667 0.333 0.000
0.000 0.000 0.000
0.937 0.633 0.812
0.759 0.759 0.188
0.063 0.367 0.188
0.633 0.937 0.812
0.241 0.241 0.812
0.367 0.063 0.188
```

formation energy (no corrections): -2.59 eV/atom
calculated total energy: -6.62 eV/atom

---

(10)
Density functional theory data (GGA-PBE) for a relaxed structure of Sm4Er9Tl11.

Structure (POSCAR):
```
Sm4Er9Tl11
1.0
3.564 0.000 0.000
0.000 13.106 -5.155
0.000 0.410 14.078
Sm Er Tl
4 9 11
direct
0.500 0.587 0.750
0.500 0.413 0.250
0.500 0.750 0.587
0.500 0.250 0.413
0.500 0.613 0.160
0.500 0.387 0.840
0.500 0.160 0.613
0.500 0.840 0.387
0.500 0.797 0.987
0.500 0.203 0.013
0.500 0.987 0.797
0.500 0.013 0.203
0.500 0.500 0.500
0.000 0.591 0.954
0.000 0.409 0.046
0.000 0.954 0.591
0.000 0.046 0.409
0.000 0.624 0.376
0.000 0.376 0.624
0.000 0.812 0.188
0.000 0.188 0.812
0.000 0.000 0.000
0.000 0.794 0.794
0.000 0.206 0.206
```

ΔE_f: -0.25 eV/atom
calculated total energy: -3.84 eV/atom

---

(11)
Density functional theory data (GGA-PBE) for a relaxed structure of CaOs2W.

Structure (POSCAR):
```
CaOs2W
1.0
-2.690 -4.447 0.693
1.311 -4.047 -3.064
2.530 3.426 3.058
Ca Os W
1 2 1
direct
0.750 0.250 0.500
0.000 0.000 0.000
0.250 0.750 0.500
0.500 0.500 0.000
```

excess energy over the best structure of this formula in the dataset: 574 meV per atom
ΔE_f: 0.84 eV/atom
calculated total energy: -8.52 eV/atom

---

(12)
Density functional theory data (GGA-PBE) for a relaxed structure of K3Ac2DySe6.

Structure (POSCAR):
```
K3Ac2DySe6
1.0
7.728 -0.002 -0.002
-3.864 6.693 -0.002
-1.291 -2.235 7.723
K Ac Dy Se
3 2 1 6
direct
0.167 0.833 0.500
0.833 0.167 0.500
0.500 0.500 0.500
0.333 0.667 0.000
0.667 0.333 0.000
0.000 0.000 0.000
0.929 0.614 0.787
0.756 0.756 0.212
0.071 0.386 0.213
0.614 0.929 0.787
0.244 0.244 0.788
0.386 0.071 0.213
```

formation energy (no corrections): -1.79 eV/atom
calculated total energy: -4.87 eV/atom

---

(13)
Density functional theory data (GGA-PBE) for a relaxed structure of Y7Ho2Tm3.

Structure (POSCAR):
```
Y7Ho2Tm3
1.0
3.572 0.000 0.000
0.000 5.749 -0.258
0.000 -3.692 18.724
Y Ho Tm
7 2 3
direct
0.500 0.722 0.464
0.500 0.278 0.536
0.000 0.465 0.144
0.000 0.000 0.000
0.000 0.535 0.856
0.500 0.001 0.818
0.500 0.999 0.182
0.500 0.590 0.296
0.500 0.410 0.704
0.500 0.500 0.000
0.000 0.148 0.367
0.000 0.852 0.633
```

excess energy over the best structure of this formula in the dataset: 0 meV per atom
ΔE_f: 0.09 eV/atom
calculated total energy: -5.56 eV/atom

---

(14)
Density functional theory data (GGA-PBE) for a relaxed structure of Mn2AlPtRh.

Structure (POSCAR):
```
Mn2AlPtRh
1.0
4.503 0.000 0.000
0.000 4.323 0.000
0.000 0.000 4.503
Mn Rh Al Pt
2 1 1 1
direct
0.000 0.000 0.500
0.500 0.000 0.000
0.000 0.500 0.000
0.000 0.000 0.000
0.500 0.500 0.500
```

ΔE_f: 0.81 eV/atom
calculated total energy: -6.28 eV/atom

---

(15)
Density functional theory data (GGA-PBE) for a relaxed structure of NaHgRh3.

Structure (POSCAR):
```
NaHgRh3
1.0
-1.545 1.093 -4.680
-1.131 -4.860 -0.762
-4.670 0.816 1.732
Na Rh Hg
1 3 1
direct
0.500 0.500 0.500
0.000 0.500 0.000
0.000 0.000 0.500
0.500 0.000 0.000
0.000 0.000 0.000
```

excess energy over the best structure of this formula in the dataset: 0 meV per atom
ΔE_f: 1.37 eV/atom
calculated total energy: -3.37 eV/atom

---

(16)
Density functional theory data (GGA-PBE) for a relaxed structure of Sm5Zn4Ni.

Structure (POSCAR):
```
Sm5Zn4Ni
1.0
-2.562 0.838 2.387
-0.726 -3.498 0.448
12.161 -0.817 13.336
Sm Zn Ni
5 4 1
direct
0.500 0.500 0.091
0.500 0.500 0.296
0.500 0.500 0.500
0.500 0.500 0.704
0.500 0.500 0.909
0.000 0.000 0.196
0.000 0.000 0.397
0.000 0.000 0.603
0.000 0.000 0.804
0.000 0.000 0.000
```

ΔE_f: -0.31 eV/atom
calculated total energy: -3.76 eV/atom

---

(17)
Density functional theory data (GGA-PBE) for a relaxed structure of Mg3BeCr.

Structure (POSCAR):
```
Mg3BeCr
1.0
4.726 0.000 0.000
0.000 4.726 0.000
0.000 0.000 4.726
Cr Mg Be
1 3 1
direct
0.500 0.500 0.500
0.000 0.500 0.000
0.000 0.000 0.500
0.500 0.000 0.000
0.000 0.000 0.000
```

excess energy over the best structure of this formula in the dataset: 0 meV per atom
ΔE_f: 0.62 eV/atom
calculated total energy: -3.00 eV/atom

---

(18)
Density functional theory data (GGA-PBE) for a relaxed structure of K2AgPbBr6.

Structure (POSCAR):
```
K2AgPbBr6
1.0
7.688 0.000 -0.044
0.000 8.028 0.000
0.004 0.000 11.011
K Ag Pb Br
4 2 2 12
direct
0.025 0.926 0.248
0.525 0.574 0.748
0.975 0.074 0.752
0.475 0.426 0.252
0.500 0.000 0.500
0.000 0.500 0.000
0.500 0.000 0.000
0.000 0.500 0.500
0.296 0.696 0.047
0.796 0.804 0.547
0.704 0.304 0.953
0.204 0.196 0.453
0.307 0.707 0.450
0.807 0.793 0.950
0.693 0.293 0.550
0.193 0.207 0.050
0.903 0.521 0.242
0.403 0.979 0.742
0.097 0.479 0.758
0.597 0.021 0.258
```

formation energy (no corrections): -1.04 eV/atom
calculated total energy: -2.92 eV/atom

---

(19)
Density functional theory data (GGA-PBE) for a relaxed structure of Hf2NbTl.

Structure (POSCAR):
```
Hf2NbTl
1.0
-3.092 0.953 0.090
-2.021 -0.832 -2.388
-4.069 -8.090 4.070
Tl Hf Nb
1 2 1
direct
0.500 0.500 0.500
0.255 0.255 0.235
0.745 0.745 0.765
0.000 0.000 0.000
```

excess energy over the best structure of this formula in the dataset: 151 meV per atom
ΔE_f: 0.13 eV/atom
calculated total energy: -7.95 eV/atom

---

(20)
Density functional theory data (GGA-PBE) for a relaxed structure of Rb6CdPb2.

Structure (POSCAR):
```
Rb6CdPb2
1.0
6.471 0.000 1.776
2.992 5.738 1.776
0.080 0.049 12.382
Rb Cd Pb
6 1 2
direct
0.576 0.576 0.271
0.810 0.810 0.569
0.698 0.698 0.906
0.190 0.190 0.431
0.424 0.424 0.729
0.302 0.302 0.094
0.000 0.000 0.000
0.917 0.917 0.248
0.083 0.083 0.752
```

ΔE_f: -0.09 eV/atom
calculated total energy: -1.67 eV/atom

---

(21)
Density functional theory data (GGA-PBE) for a relaxed structure of ZrTiAs2Br.

Structure (POSCAR):
```
ZrTiAs2Br
1.0
5.201 0.000 0.000
0.000 5.201 0.000
0.000 0.000 5.207
As Br Zr Ti
2 1 1 1
direct
0.000 0.500 0.000
0.500 0.000 0.000
0.000 0.000 0.500
0.000 0.000 0.000
0.500 0.500 0.500
```

excess energy over the best structure of this formula in the dataset: 153 meV per atom
formation energy (no corrections): 0.20 eV/atom
calculated total energy: -5.28 eV/atom

---

(22)
Density functional theory data (GGA-PBE) for a relaxed structure of Pu2Ga6Ni.

Structure (POSCAR):
```
Pu2Ga6Ni
1.0
-4.311 -1.231 2.956
-0.942 -4.821 -3.384
2.499 -5.212 1.472
Pu Ga Ni
2 6 1
direct
0.808 0.667 0.667
0.192 0.333 0.333
0.305 0.346 0.827
0.305 0.827 0.827
0.305 0.827 0.346
0.695 0.654 0.173
0.695 0.173 0.173
0.695 0.173 0.654
0.000 0.000 0.000
```

ΔE_f: -0.40 eV/atom
calculated total energy: -6.24 eV/atom

---

(23)
Density functional theory data (GGA-PBE) for a relaxed structure of Ba4LiIr.

Structure (POSCAR):
```
Ba4LiIr
1.0
0.000 4.923 4.923
4.923 0.000 4.923
4.923 4.923 0.000
Ba Li Ir
4 1 1
direct
0.870 0.377 0.377
0.377 0.377 0.870
0.377 0.870 0.377
0.377 0.377 0.377
0.000 0.000 0.000
0.750 0.750 0.750
```

excess energy over the best structure of this formula in the dataset: 953 meV per atom
ΔE_f: 0.88 eV/atom
calculated total energy: -2.19 eV/atom